DFT (SCAN) results for a crystal of ScTcCl2 relaxed with PBEsol.

E_form (uncorrected)	-377	meV per atom
DFT total energy	-16.690	eV/atom
crystal system	orthorhombic
E above lowest polymorph	432.9	meV/atom

Structure (CIF):
```
data_ScTcCl2
_cell_length_a 2.9841
_cell_length_b 4.1227
_cell_length_c 5.5208
_cell_angle_alpha 90.00
_cell_angle_beta 90.00
_cell_angle_gamma 90.00
_space_group_name_H-M_alt 'P m m m'
_space_group_IT_number 47
_space_group_name_Hall '-P 2 2'
loop_
_atom_site_label
_atom_site_type_symbol
_atom_site_fract_x
_atom_site_fract_y
_atom_site_fract_z
_atom_site_occupancy
Sc1 Sc 0.0000 0.0000 0.0000 1
Tc1 Tc 0.5000 0.0000 0.5000 1
Cl1 Cl 0.0000 0.5000 0.5000 1
Cl2 Cl 0.5000 0.5000 0.0000 1
```